1.
First-principles (PBE-GGA) data for an optimized crystal structure of NaTb4NdSe8, as listed in Alexandria.

Computed properties:
Its space group is No. 160. For the density of states at the Fermi level, the calculation gives 0.000 states/eV/atom. The value obtained for the total moment is 0.000 μB/f.u. The value obtained for the uncorrected formation energy is -1.77 eV per atom. The electronic total energy comes out at -5.52 eV per atom.

a b c (Å): 8.5801 8.5801 8.5801
angles (deg): 59.39 59.39 59.39
Sites, in units of the cell vectors:
Na1 0.0000 0.0000 0.0000
Tb1 0.3683 0.3683 0.8875
Tb2 0.3683 0.8875 0.3683
Tb3 0.7471 0.7471 0.7471
Tb4 0.8875 0.3683 0.3683
Nd1 0.3687 0.3687 0.3687
Se1 0.1286 0.1286 0.5950
Se2 0.1286 0.5950 0.1286
Se3 0.1337 0.1337 0.1337
Se4 0.1447 0.6193 0.6193
Se5 0.5950 0.1286 0.1286
Se6 0.6148 0.6148 0.6148
Se7 0.6193 0.1447 0.6193
Se8 0.6193 0.6193 0.1447

2.
First-principles (PBE-GGA) data for an optimized crystal structure of SrZrMo2Ru, as listed in Alexandria.

Computed properties:
The calculation puts the energy of formation from the pure elements at 1.326 eV per atom. Its space group is No. 123. For the density of states at the Fermi level, the calculation gives 1.897 states/eV/atom. The value obtained for the total moment is 0.007 μB/f.u. The electronic total energy comes out at -6.91 eV per atom.

a b c (Å): 4.7956 4.7956 5.1911
angles (deg): 90.00 90.00 90.00
Sites, in units of the cell vectors:
Sr1 0.0000 0.0000 0.0000
Zr1 0.5000 0.5000 0.0000
Mo1 0.0000 0.5000 0.5000
Mo2 0.5000 0.0000 0.5000
Ru1 0.0000 0.0000 0.5000

3.
First-principles (PBE-GGA) data for an optimized crystal structure of Y2GaPd2, as listed in Alexandria.

Computed properties:
The calculation puts the energy of formation from the pure elements at -0.620 eV per atom. Its space group is No. 139. For the density of states at the Fermi level, the calculation gives 0.803 states/eV/atom. The value obtained for the total moment is 0.000 μB/f.u. The electronic total energy comes out at -5.89 eV per atom.

a b c (Å): 5.4665 5.4665 5.4665
angles (deg): 119.66 119.66 90.60
Sites, in units of the cell vectors:
Y1 0.2500 0.7500 0.5000
Y2 0.7500 0.2500 0.5000
Ga1 0.0000 0.0000 0.0000
Pd1 0.3342 0.3342 0.0000
Pd2 0.6658 0.6658 0.0000

4.
First-principles (PBE-GGA) data for an optimized crystal structure of CaYRu, as listed in Alexandria.

Computed properties:
For the energy above the most stable polymorph in this dataset, the calculation gives 13 meV per atom. The calculation puts the energy of formation from the pure elements at -0.094 eV per atom. Its space group is No. 107. For the density of states at the Fermi level, the calculation gives 1.133 states/eV/atom. The value obtained for the total moment is 0.000 μB/f.u. The electronic total energy comes out at -6.01 eV per atom.

a b c (Å): 6.8440 6.8440 6.8440
angles (deg): 150.45 150.45 42.29
Sites, in units of the cell vectors:
Ca1 0.0000 0.0000 0.0000
Y1 0.2539 0.2539 0.0000
Ru1 0.6414 0.6414 0.0000

5.
First-principles (PBE-GGA) data for an optimized crystal structure of TlCrAg2, as listed in Alexandria.

Computed properties:
The calculation puts the energy of formation from the pure elements at 0.352 eV per atom. Its space group is No. 123. For the density of states at the Fermi level, the calculation gives 0.484 states/eV/atom. The value obtained for the total moment is 4.060 μB/f.u. The electronic total energy comes out at -4.07 eV per atom.

a b c (Å): 4.2234 4.2234 4.3333
angles (deg): 90.00 90.00 90.00
Sites, in units of the cell vectors:
Tl1 0.0000 0.0000 0.0000
Cr1 0.5000 0.5000 0.0000
Ag1 0.0000 0.5000 0.5000
Ag2 0.5000 0.0000 0.5000

6.
First-principles (PBE-GGA) data for an optimized crystal structure of Ba2ScBr, as listed in Alexandria.

Computed properties:
For the energy above the most stable polymorph in this dataset, the calculation gives 35 meV per atom. Its space group is No. 65. For the density of states at the Fermi level, the calculation gives 1.478 states/eV/atom. The value obtained for the total moment is 1.585 μB/f.u. The value obtained for the uncorrected formation energy is -0.47 eV per atom. The electronic total energy comes out at -3.43 eV per atom.

a b c (Å): 3.9548 3.9548 10.1909
angles (deg): 90.00 90.00 96.18
Sites, in units of the cell vectors:
Ba1 0.0000 0.0000 0.2347
Ba2 0.0000 0.0000 0.7653
Sc1 0.5000 0.5000 0.5000
Br1 0.5000 0.5000 0.0000